Here is an optimized crystal structure of NdSmCr2O8 from Alexandria via LeMat-Bulk. Energies are from GGA+U.

Cell: 6.1338 6.1338 6.1338 Å, 105.88 105.88 116.93°
Atoms (fractional coordinates):
Nd 0.0000 0.0000 0.0000
Sm 0.7500 0.2500 0.5000
Cr 0.2500 0.7500 0.5000
Cr 0.5000 0.5000 0.0000
O 0.0789 0.3990 0.3202
O 0.0789 0.7587 0.6798
O 0.1493 0.3315 0.8179
O 0.2413 0.9211 0.3202
O 0.5136 0.3315 0.1821
O 0.6010 0.9211 0.6798
O 0.6685 0.4864 0.8179
O 0.6685 0.8507 0.1821

Summary:
Its space-group type is I-4m2, No. 119. The calculated volume is 175.4 Å³ per cell. For the density of states at the Fermi level, the calculation gives 1.2 states/eV per cell. As for the energy: -0.2809 Ha/atom.